# 1
The following is a GGA-PBE calculation of an optimized crystal structure of Ti12Sb6Ir, from Alexandria.

a = 12.8474 Å, b = 12.8474 Å, c = 7.3260 Å
α = 90.00°, β = 90.00°, γ = 120.00°
Space group R-3 (No. 148, hexagonal axes)
Asymmetric unit:
Ti1 0.0070 0.1322 0.1844 x18
Ti2 0.0692 0.5717 0.1688 x18
Sb1 0.0185 0.2603 0.8504 x18
Ir1 0.0000 0.0000 0.5000 x3

uncorrected energy: -0.52047 Ry per atom
density of states at the Fermi level: 61.5 states/eV per cell
E_form (uncorrected): -0.33 eV per atom


# 2
The following is a GGA-PBE calculation of an optimized crystal structure of Ti2Sb2Ir, from Alexandria.

a = 6.970 Å, b = 6.970 Å, c = 3.942 Å
α = 90.00°, β = 90.00°, γ = 90.00°
Space group P4/mbm (No. 127)
Asymmetric unit:
Ti1 0.153 0.347 0.000 x4
Sb1 0.150 0.650 0.500 x4
Ir1 0.000 0.000 0.500 x2

uncorrected energy: -0.49314 Ry per atom
density of states at the Fermi level: 10.9 states/eV per cell
E_form (uncorrected): -0.13 eV per atom


# 3
The following is a GGA-PBE calculation of an optimized crystal structure of Ti3SbIr, from Alexandria.

a = 4.768 Å, b = 4.768 Å, c = 4.768 Å
α = 90.00°, β = 90.00°, γ = 90.00°
Space group Pm-3m (No. 221)
Asymmetric unit:
Ti1 0.000 0.000 0.500 x3
Sb1 0.500 0.500 0.500 x1
Ir1 0.000 0.000 0.000 x1

uncorrected energy: -0.53794 Ry per atom
density of states at the Fermi level: 3.2 states/eV per cell
E_form (uncorrected): 0.01 eV per atom


# 4
The following is a GGA-PBE calculation of an optimized crystal structure of TiSbIr2, from Alexandria.

a = 5.533 Å, b = 5.533 Å, c = 12.384 Å
α = 90.00°, β = 90.00°, γ = 90.00°
Space group I-42d (No. 122)
Asymmetric unit:
Ti1 0.000 0.000 0.000 x4
Sb1 0.000 0.000 0.500 x4
Ir1 0.227 0.250 0.125 x8

uncorrected energy: -0.53392 Ry per atom
density of states at the Fermi level: 6.4 states/eV per cell
E_form (uncorrected): 0.17 eV per atom